# Ac12Sb3H5

An optimized crystal structure of Ac12Sb3H5 (PBE, Alexandria).

CIF file:
```
data_Ac12Sb3H5
_space_group_name_H-M_alt 'P 1'
_space_group_IT_number 1
_cell_length_a 14.998
_cell_length_b 14.998
_cell_length_c 14.998
_cell_angle_alpha 109.47
_cell_angle_beta 109.47
_cell_angle_gamma 109.47
loop_
_space_group_symop_operation_xyz
'x,y,z'
loop_
_atom_site_label
_atom_site_fract_x
_atom_site_fract_y
_atom_site_fract_z
_atom_site_occupancy
Sb1 0.625 0.375 0.750 1
Sb2 0.750 0.875 0.625 1
Sb3 0.250 0.625 0.875 1
Sb4 0.875 0.125 0.250 1
Sb5 0.625 0.250 0.375 1
Sb6 0.375 0.750 0.625 1
Sb7 0.750 0.375 0.125 1
Sb8 0.875 0.750 0.125 1
Sb9 0.125 0.250 0.875 1
Sb10 0.250 0.125 0.375 1
Sb11 0.125 0.875 0.750 1
Sb12 0.375 0.625 0.250 1
Ac1 0.386 0.980 0.788 1
Ac2 0.192 0.094 0.980 1
Ac3 0.808 0.902 0.288 1
Ac4 0.906 0.808 0.520 1
Ac5 0.520 0.212 0.114 1
Ac6 0.614 0.020 0.212 1
Ac7 0.212 0.520 0.614 1
Ac8 0.480 0.692 0.094 1
Ac9 0.288 0.402 0.808 1
Ac10 0.386 0.406 0.098 1
Ac11 0.692 0.480 0.594 1
Ac12 0.114 0.712 0.520 1
Ac13 0.094 0.902 0.114 1
Ac14 0.114 0.402 0.094 1
Ac15 0.712 0.598 0.192 1
Ac16 0.594 0.614 0.402 1
Ac17 0.614 0.594 0.902 1
Ac18 0.480 0.788 0.886 1
Ac19 0.094 0.192 0.480 1
Ac20 0.192 0.098 0.712 1
Ac21 0.788 0.308 0.902 1
Ac22 0.598 0.712 0.692 1
Ac23 0.902 0.808 0.788 1
Ac24 0.098 0.906 0.386 1
Ac25 0.098 0.192 0.212 1
Ac26 0.980 0.594 0.192 1
Ac27 0.212 0.692 0.098 1
Ac28 0.808 0.906 0.020 1
Ac29 0.288 0.886 0.980 1
Ac30 0.020 0.614 0.712 1
Ac31 0.886 0.598 0.906 1
Ac32 0.402 0.114 0.594 1
Ac33 0.406 0.386 0.598 1
Ac34 0.598 0.886 0.406 1
Ac35 0.402 0.288 0.308 1
Ac36 0.712 0.114 0.020 1
Ac37 0.902 0.094 0.614 1
Ac38 0.308 0.520 0.406 1
Ac39 0.886 0.288 0.480 1
Ac40 0.020 0.406 0.808 1
Ac41 0.906 0.098 0.886 1
Ac42 0.980 0.386 0.288 1
Ac43 0.594 0.980 0.692 1
Ac44 0.520 0.308 0.906 1
Ac45 0.308 0.788 0.402 1
Ac46 0.692 0.212 0.598 1
Ac47 0.788 0.480 0.386 1
Ac48 0.406 0.020 0.308 1
H1 0.500 0.500 0.500 1
H2 0.000 0.000 0.000 1
H3 0.500 0.000 0.500 1
H4 0.750 0.125 0.875 1
H5 0.250 0.375 0.625 1
H6 0.000 0.000 0.500 1
H7 0.625 0.750 0.875 1
H8 0.375 0.125 0.750 1
H9 0.000 0.500 0.500 1
H10 0.125 0.750 0.375 1
H11 0.500 0.500 0.000 1
H12 0.125 0.375 0.250 1
H13 0.875 0.625 0.750 1
H14 0.625 0.875 0.250 1
H15 0.375 0.250 0.125 1
H16 0.875 0.250 0.625 1
H17 0.250 0.875 0.125 1
H18 0.750 0.625 0.375 1
H19 0.500 0.000 0.000 1
H20 0.000 0.500 0.000 1
```

## Properties
As for the space group: Ia-3d. The value obtained for the theoretical density is 7.915 g/cm3. The density of states at the Fermi level comes out at 0.9041 states/eV per atom. For the final energy, the calculation gives -4.311 eV/atom. The volume comes out at 2596.9 Å³/cell.